Record 1
The following is a DFT calculation (GGA-PBEsol) of an optimized crystal structure of SmCd3.

Output
DFT formation energy: -0.334 eV per atom
V: 358.26 Å³ per cell
spin magnetization: 0.00 μB per cell

CIF file:
```
data_SmCd3
_cell_length_a 7.102
_cell_length_b 7.102
_cell_length_c 7.102
_cell_angle_alpha 90.00
_cell_angle_beta 90.00
_cell_angle_gamma 90.00
_space_group_name_H-M_alt 'F m -3 m'
_space_group_IT_number 225
_space_group_name_Hall '-F 4 2 3'
loop_
_atom_site_label
_atom_site_fract_x
_atom_site_fract_y
_atom_site_fract_z
Sm1 0.000 0.000 0.000
Cd1 0.000 0.000 0.500
Cd2 0.250 0.250 0.250
```



Record 2
The following is a DFT calculation (GGA-PBEsol) of an optimized crystal structure of SiAs2Os.

Output
uncorrected formation energy: 0.37 eV/atom
V: 329.83 Å³ per cell
spin magnetization: 0.00 μB per cell

CIF file:
```
data_SiAs2Os
_cell_length_a 5.622
_cell_length_b 5.622
_cell_length_c 10.436
_cell_angle_alpha 90.00
_cell_angle_beta 90.00
_cell_angle_gamma 90.00
_space_group_name_H-M_alt 'I -4 2 d'
_space_group_IT_number 122
_space_group_name_Hall 'I -4 2bw'
loop_
_atom_site_label
_atom_site_fract_x
_atom_site_fract_y
_atom_site_fract_z
Si1 0.000 0.000 0.000
As1 0.246 0.250 0.625
Os1 0.000 0.000 0.500
```



Record 3
The following is a DFT calculation (GGA-PBEsol) of an optimized crystal structure of Sr2SbO2.

Output
uncorrected formation energy: -1.58 eV/atom
V: 221.22 Å³ per cell
spin magnetization: 0.00 μB per cell

CIF file:
```
data_Sr2SbO2
_cell_length_a 4.378
_cell_length_b 4.378
_cell_length_c 11.542
_cell_angle_alpha 90.00
_cell_angle_beta 90.00
_cell_angle_gamma 90.00
_space_group_name_H-M_alt 'I 4/m m m'
_space_group_IT_number 139
_space_group_name_Hall '-I 4 2'
loop_
_atom_site_label
_atom_site_fract_x
_atom_site_fract_y
_atom_site_fract_z
Sr1 0.000 0.000 0.168
Sb1 0.000 0.000 0.500
O1 0.000 0.500 0.250
```



Record 4
The following is a DFT calculation (GGA-PBEsol) of an optimized crystal structure of ScAl2Tc.

Output
DFT formation energy: -0.277 eV per atom
V: 63.70 Å³ per cell
relative energy among the computed polymorphs: 0.44 eV per formula unit
spin magnetization: 0.00 μB per cell

CIF file:
```
data_ScAl2Tc
_cell_length_a 2.918
_cell_length_b 4.360
_cell_length_c 5.045
_cell_angle_alpha 90.00
_cell_angle_beta 96.93
_cell_angle_gamma 90.00
_space_group_name_H-M_alt 'P 1 m 1'
_space_group_IT_number 6
loop_
_space_group_symop_operation_xyz
'x,y,z'
'x,-y,z'
loop_
_atom_site_label
_atom_site_fract_x
_atom_site_fract_y
_atom_site_fract_z
Sc1 0.000 0.000 0.000
Al1 0.440 0.500 0.781
Al2 0.449 0.000 0.487
Tc1 0.817 0.500 0.304
```



Record 5
The following is a DFT calculation (GGA-PBEsol) of an optimized crystal structure of Na2CdReOs.

Output
DFT formation energy: 1.554 eV per atom
V: 130.37 Å³ per cell
spin magnetization: 0.00 μB per cell

CIF file:
```
data_Na2CdReOs
_cell_length_a 5.337
_cell_length_b 5.337
_cell_length_c 4.578
_cell_angle_alpha 90.00
_cell_angle_beta 90.00
_cell_angle_gamma 90.00
_space_group_name_H-M_alt 'P 4/m m m'
_space_group_IT_number 123
_space_group_name_Hall '-P 4 2'
loop_
_atom_site_label
_atom_site_fract_x
_atom_site_fract_y
_atom_site_fract_z
Na1 0.000 0.500 0.000
Cd1 0.000 0.000 0.500
Re1 0.500 0.500 0.500
Os1 0.500 0.500 0.000
```



Record 6
The following is a DFT calculation (GGA-PBEsol) of an optimized crystal structure of CaCr2Cl.

Output
uncorrected formation energy: 0.72 eV/atom
V: 361.85 Å³ per cell
relative energy among the computed polymorphs: 2.70 eV per formula unit
spin magnetization: 39.26 μB per cell

CIF file:
```
data_CaCr2Cl
_cell_length_a 7.126
_cell_length_b 7.126
_cell_length_c 7.126
_cell_angle_alpha 90.00
_cell_angle_beta 90.00
_cell_angle_gamma 90.00
_space_group_name_H-M_alt 'F -4 3 m'
_space_group_IT_number 216
_space_group_name_Hall 'F -4 2 3'
loop_
_atom_site_label
_atom_site_fract_x
_atom_site_fract_y
_atom_site_fract_z
Ca1 0.000 0.000 0.000
Cr1 0.000 0.000 0.500
Cr2 0.250 0.250 0.250
Cl1 0.250 0.250 0.750
```



Record 7
The following is a DFT calculation (GGA-PBEsol) of an optimized crystal structure of SiP2S2.

Output
uncorrected formation energy: 0.91 eV/atom
V: 88.14 Å³ per cell
relative energy among the computed polymorphs: 1.37 eV per formula unit
spin magnetization: 0.00 μB per cell

CIF file:
```
data_SiP2S2
_cell_length_a 4.424
_cell_length_b 4.424
_cell_length_c 4.503
_cell_angle_alpha 90.00
_cell_angle_beta 90.00
_cell_angle_gamma 90.00
_space_group_name_H-M_alt 'P 4/m m m'
_space_group_IT_number 123
_space_group_name_Hall '-P 4 2'
loop_
_atom_site_label
_atom_site_fract_x
_atom_site_fract_y
_atom_site_fract_z
Si1 0.000 0.000 0.000
P1 0.000 0.500 0.500
S1 0.500 0.500 0.000
S2 0.500 0.500 0.500
```



Record 8
The following is a DFT calculation (GGA-PBEsol) of an optimized crystal structure of TcSn3Os.

Output
DFT formation energy: 1.194 eV per atom
V: 127.98 Å³ per cell
spin magnetization: 3.08 μB per cell

CIF file:
```
data_TcSn3Os
_cell_length_a 5.039
_cell_length_b 5.039
_cell_length_c 5.039
_cell_angle_alpha 90.00
_cell_angle_beta 90.00
_cell_angle_gamma 90.00
_space_group_name_H-M_alt 'P m -3 m'
_space_group_IT_number 221
_space_group_name_Hall '-P 4 2 3'
loop_
_atom_site_label
_atom_site_fract_x
_atom_site_fract_y
_atom_site_fract_z
Tc1 0.000 0.000 0.000
Sn1 0.000 0.500 0.500
Os1 0.500 0.500 0.500
```



Record 9
The following is a DFT calculation (GGA-PBEsol) of an optimized crystal structure of TlAg3Pd.

Output
DFT formation energy: 0.644 eV per atom
V: 124.21 Å³ per cell
relative energy among the computed polymorphs: 0.00 eV per formula unit
spin magnetization: 0.00 μB per cell

CIF file:
```
data_TlAg3Pd
_cell_length_a 4.990
_cell_length_b 4.990
_cell_length_c 4.990
_cell_angle_alpha 90.00
_cell_angle_beta 90.00
_cell_angle_gamma 90.00
_space_group_name_H-M_alt 'P m -3 m'
_space_group_IT_number 221
_space_group_name_Hall '-P 4 2 3'
loop_
_atom_site_label
_atom_site_fract_x
_atom_site_fract_y
_atom_site_fract_z
Tl1 0.000 0.000 0.000
Ag1 0.000 0.500 0.500
Pd1 0.500 0.500 0.500
```



Record 10
The following is a DFT calculation (GGA-PBEsol) of an optimized crystal structure of BiPd2C2.

Output
DFT formation energy: 0.976 eV per atom
V: 142.98 Å³ per cell
spin magnetization: 0.00 μB per cell

CIF file:
```
data_BiPd2C2
_cell_length_a 5.998
_cell_length_b 5.998
_cell_length_c 3.974
_cell_angle_alpha 90.00
_cell_angle_beta 90.00
_cell_angle_gamma 90.00
_space_group_name_H-M_alt 'P 4/m b m'
_space_group_IT_number 127
_space_group_name_Hall '-P 4 2ab'
loop_
_atom_site_label
_atom_site_fract_x
_atom_site_fract_y
_atom_site_fract_z
Bi1 0.000 0.000 0.000
Pd1 0.163 0.337 0.500
C1 0.078 0.578 0.000
```



Record 11
The following is a DFT calculation (GGA-PBEsol) of an optimized crystal structure of Be2CrMo2.

Output
DFT formation energy: -0.109 eV per atom
V: 113.07 Å³ per cell
spin magnetization: 0.00 μB per cell

CIF file:
```
data_Be2CrMo2
_cell_length_a 5.982
_cell_length_b 5.982
_cell_length_c 3.160
_cell_angle_alpha 90.00
_cell_angle_beta 90.00
_cell_angle_gamma 90.00
_space_group_name_H-M_alt 'P 4/m b m'
_space_group_IT_number 127
_space_group_name_Hall '-P 4 2ab'
loop_
_atom_site_label
_atom_site_fract_x
_atom_site_fract_y
_atom_site_fract_z
Be1 0.120 0.380 0.000
Cr1 0.000 0.000 0.000
Mo1 0.178 0.678 0.500
```



Record 12
The following is a DFT calculation (GGA-PBEsol) of an optimized crystal structure of Ba2DyGaTe5.

Output
uncorrected formation energy: -1.28 eV/atom
V: 1238.43 Å³ per cell
spin magnetization: 0.00 μB per cell

CIF file:
```
data_Ba2DyGaTe5
_cell_length_a 4.443
_cell_length_b 20.061
_cell_length_c 13.895
_cell_angle_alpha 90.00
_cell_angle_beta 90.00
_cell_angle_gamma 90.00
_space_group_name_H-M_alt 'C m c 21'
_space_group_IT_number 36
loop_
_space_group_symop_operation_xyz
'x,y,z'
'-x,-y,z+1/2'
'-x,y,z'
'x,-y,z+1/2'
'x+1/2,y+1/2,z'
'-x+1/2,-y+1/2,z+1/2'
'-x+1/2,y+1/2,z'
'x+1/2,-y+1/2,z+1/2'
loop_
_atom_site_label
_atom_site_fract_x
_atom_site_fract_y
_atom_site_fract_z
Ba1 0.000 0.121 0.000
Ba2 0.000 0.127 0.635
Dy1 0.000 0.206 0.335
Ga1 0.000 0.439 0.745
Te1 0.000 0.047 0.357
Te2 0.000 0.295 0.981
Te3 0.000 0.312 0.680
Te4 0.000 0.353 0.319
Te5 0.000 0.499 0.082
```



Record 13
The following is a DFT calculation (GGA-PBEsol) of an optimized crystal structure of MnSb2TeC.

Output
uncorrected formation energy: 1.10 eV/atom
V: 102.60 Å³ per cell
spin magnetization: 3.55 μB per cell

CIF file:
```
data_MnSb2TeC
_cell_length_a 4.650
_cell_length_b 4.650
_cell_length_c 4.744
_cell_angle_alpha 90.00
_cell_angle_beta 90.00
_cell_angle_gamma 90.00
_space_group_name_H-M_alt 'P 4/m m m'
_space_group_IT_number 123
_space_group_name_Hall '-P 4 2'
loop_
_atom_site_label
_atom_site_fract_x
_atom_site_fract_y
_atom_site_fract_z
Mn1 0.000 0.000 0.000
Sb1 0.000 0.500 0.500
Te1 0.500 0.500 0.000
C1 0.500 0.500 0.500
```



Record 14
The following is a DFT calculation (GGA-PBEsol) of an optimized crystal structure of HoAgHg2.

Output
DFT formation energy: -0.426 eV per atom
V: 330.70 Å³ per cell
spin magnetization: 0.00 μB per cell

CIF file:
```
data_HoAgHg2
_cell_length_a 6.915
_cell_length_b 6.915
_cell_length_c 6.915
_cell_angle_alpha 90.00
_cell_angle_beta 90.00
_cell_angle_gamma 90.00
_space_group_name_H-M_alt 'F m -3 m'
_space_group_IT_number 225
_space_group_name_Hall '-F 4 2 3'
loop_
_atom_site_label
_atom_site_fract_x
_atom_site_fract_y
_atom_site_fract_z
Ho1 0.000 0.000 0.000
Ag1 0.000 0.000 0.500
Hg1 0.250 0.250 0.250
```